## Th3In2Hg7 (GGA-PBE)

Data for a geometry-optimized Th3In2Hg7 structure.

Cell: 4.508 4.741 15.168 Å, 99.13 90.00 90.00°
Fractional coordinates of all 12 atoms:
Hg 0.000 0.578 0.154
Hg 0.500 0.274 0.547
Hg 0.500 0.726 0.453
Hg 0.000 0.422 0.846
Hg 0.500 0.079 0.158
Hg 0.500 0.921 0.842
Hg 0.000 0.000 0.000
Th 0.000 0.189 0.379
Th 0.000 0.811 0.621
Th 0.500 0.500 0.000
In 0.500 0.636 0.273
In 0.500 0.364 0.727

Its density of states at the Fermi level is 0.727 states/eV/atom. The calculation puts the volume at 320 Å³/f.u. The formation energy is -102 meV/atom. As for the space-group type: P2/m, No. 10. The value obtained for the uncorrected energy is -31.08 eV per cell.



## Th2In8Hg (GGA-PBE)

Data for a geometry-optimized Th2In8Hg structure.

Cell: 4.816 4.816 12.811 Å, 90.00 90.00 90.00°
Fractional coordinates of all 11 atoms:
In 0.500 0.500 0.321
In 0.500 0.000 0.138
In 0.000 0.500 0.138
In 0.500 0.500 0.679
In 0.000 0.500 0.500
In 0.500 0.000 0.500
In 0.500 0.000 0.862
In 0.000 0.500 0.862
Th 0.000 0.000 0.321
Th 0.000 0.000 0.679
Hg 0.000 0.000 0.000

Its density of states at the Fermi level is 0.486 states/eV/atom. The calculation puts the volume at 297 Å³/f.u. The formation energy is -188 meV/atom. As for the space-group type: P4/mmm, No. 123. The value obtained for the uncorrected energy is -39.12 eV per cell.



## Th5In2Hg (GGA-PBE)

Data for a geometry-optimized Th5In2Hg structure.

Cell: 5.821 6.810 13.581 Å, 90.00 90.00 115.31°
Fractional coordinates of all 16 atoms:
Th 0.086 0.172 0.396
Th 0.086 0.172 0.104
Th 0.914 0.828 0.604
Th 0.435 0.870 0.750
Th 0.914 0.828 0.896
Th 0.565 0.130 0.250
Th 0.378 0.755 0.479
Th 0.622 0.245 0.521
Th 0.378 0.755 0.021
Th 0.622 0.245 0.979
Hg 0.703 0.406 0.750
Hg 0.297 0.594 0.250
In 0.181 0.363 0.860
In 0.819 0.637 0.360
In 0.181 0.363 0.640
In 0.819 0.637 0.140

Its density of states at the Fermi level is 1.269 states/eV/atom. The calculation puts the volume at 243 Å³/f.u. The formation energy is 32 meV/atom. As for the space-group type: Cmcm, No. 63. The value obtained for the uncorrected energy is -85.25 eV per cell.



## ThInHg3 (GGA-PBE)

Data for a geometry-optimized ThInHg3 structure.

Cell: 5.348 6.800 7.486 Å, 90.00 77.19 90.00°
Fractional coordinates of all 10 atoms:
In 0.487 0.750 0.225
In 0.513 0.250 0.775
Hg 0.197 0.974 0.606
Hg 0.803 0.026 0.394
Hg 0.197 0.526 0.606
Hg 0.803 0.474 0.394
Hg 0.060 0.750 0.023
Hg 0.940 0.250 0.977
Th 0.644 0.750 0.770
Th 0.356 0.250 0.230

Its density of states at the Fermi level is 0.523 states/eV/atom. The calculation puts the volume at 133 Å³/f.u. The formation energy is -94 meV/atom. As for the space-group type: P2_1/m, No. 11. The value obtained for the uncorrected energy is -23.07 eV per cell.



## ThInHg (GGA-PBE)

Data for a geometry-optimized ThInHg structure.

Cell: 3.210 3.210 9.259 Å, 99.98 99.98 90.00°
Fractional coordinates of all 3 atoms:
Th 0.948 0.948 0.896
In 0.130 0.130 0.260
Hg 0.772 0.772 0.544

Its density of states at the Fermi level is 0.819 states/eV/atom. The calculation puts the volume at 92 Å³/f.u. The formation energy is 365 meV/atom. As for the space-group type: I4mm, No. 107. The value obtained for the uncorrected energy is -9.37 eV per cell.



## ThIn3Hg3 (GGA-PBE)

Data for a geometry-optimized ThIn3Hg3 structure.

Cell: 7.395 7.395 6.829 Å, 89.91 89.91 93.36°
Fractional coordinates of all 14 atoms:
In 0.741 0.259 0.000
In 0.643 0.357 0.500
In 0.259 0.741 0.000
In 0.357 0.643 0.500
In 0.224 0.224 0.500
In 0.776 0.776 0.500
Hg 0.000 0.000 0.226
Hg 0.000 0.000 0.774
Hg 0.000 0.501 0.733
Hg 0.499 0.000 0.267
Hg 0.501 0.000 0.733
Hg 0.000 0.499 0.267
Th 0.708 0.708 0.001
Th 0.292 0.292 0.999

Its density of states at the Fermi level is 0.454 states/eV/atom. The calculation puts the volume at 186 Å³/f.u. The formation energy is -76 meV/atom. As for the space-group type: C2/m, No. 12. The value obtained for the uncorrected energy is -34.14 eV per cell. The value obtained for the relative energy among the computed polymorphs is 0.000 eV/atom.



## Th2In2Hg (GGA-PBE)

Data for a geometry-optimized Th2In2Hg structure.

Cell: 3.443 4.855 8.541 Å, 106.52 90.00 90.00°
Fractional coordinates of all 5 atoms:
Th 0.500 0.610 0.220
Th 0.500 0.390 0.780
In 0.000 0.799 0.598
In 0.000 0.201 0.402
Hg 0.000 0.000 0.000

Its density of states at the Fermi level is 0.782 states/eV/atom. The calculation puts the volume at 137 Å³/f.u. The formation energy is -238 meV/atom. As for the space-group type: Cmmm, No. 65. The value obtained for the uncorrected energy is -21.81 eV per cell. The value obtained for the relative energy among the computed polymorphs is 0.046 eV/atom.



## Th2InHg6 (GGA-PBE)

Data for a geometry-optimized Th2InHg6 structure.

Cell: 6.018 6.592 6.592 Å, 60.00 90.04 90.04°
Fractional coordinates of all 9 atoms:
Hg 0.325 0.817 0.366
Hg 0.675 0.634 0.183
Hg 0.325 0.366 0.817
Hg 0.675 0.183 0.634
Hg 0.677 0.183 0.183
Hg 0.323 0.817 0.817
In 0.000 0.000 0.000
Th 0.166 0.333 0.333
Th 0.834 0.667 0.667

Its density of states at the Fermi level is 0.620 states/eV/atom. The calculation puts the volume at 226 Å³/f.u. The formation energy is -152 meV/atom. As for the space-group type: C2/m, No. 12. The value obtained for the uncorrected energy is -20.76 eV per cell. The value obtained for the relative energy among the computed polymorphs is 0.000 eV/atom.